Material: NaCoPCO7
Method: DFT, PBE+U
State: relaxed

Results
Calculated total energy, Ry per atom: -0.4847

Cell and atoms, written as extended XYZ:
```
22
Lattice="6.333 0.000 0.000 0.000 5.140 -0.028 0.000 0.337 9.302" Properties=species:S:1:pos:R:3 pbc="T T T"
O 0.375 4.123 3.144
O 4.704 2.768 1.746
O 4.740 4.897 1.358
O 1.618 1.658 0.366
O 1.537 2.709 7.529
C 4.741 3.699 0.830
O 1.574 0.579 7.916
P 4.786 1.668 5.244
Na 2.850 1.291 2.276
Co 4.849 4.176 3.228
O 4.784 3.819 8.908
O 4.819 3.200 4.941
C 1.574 1.778 8.444
P 1.619 3.808 4.030
O 1.652 2.276 4.334
O 2.831 4.179 3.151
O 3.542 1.353 6.130
O 5.998 1.298 6.123
Na 6.017 4.185 6.998
O 1.547 4.595 5.351
O 4.714 0.882 3.923
Co 1.682 1.301 6.046
```